Entry 1:
! Tb5Pm2Ho3 PBE-GGA optimized geometry; values from VASP
&SYSTEM
  ibrav = 0, nat = 20, ntyp = 3
/
ATOMIC_SPECIES
Tb 158.93 Tb.upf
Pm 145.00 Pm.upf
Ho 164.93 Ho.upf
CELL_PARAMETERS angstrom
-4.6801 10.8489 3.4004
4.6801 -10.8489 3.4004
4.6801 10.8489 -3.4004
ATOMIC_POSITIONS angstrom
Tb 4.6801 5.4341 -1.7002
Tb 0.0000 5.4148 5.1006
Tb 0.8547 2.7115 0.0000
Tb 0.0000 0.0000 1.7002
Tb 5.5348 8.1374 0.0000
Tb 0.0000 5.4148 1.7002
Tb 4.6801 5.4341 1.7002
Tb -0.8547 2.7115 3.4004
Tb 0.0000 0.0000 5.1006
Tb 3.8254 8.1374 3.4004
Pm 3.7393 2.7033 0.0000
Pm 3.7393 -2.7033 3.4004
Pm 0.9408 13.5522 0.0000
Pm 0.9408 8.1456 3.4004
Ho 7.0170 2.6878 0.0000
Ho 4.6801 0.0000 1.7002
Ho 2.3369 8.1611 0.0000
Ho 2.3432 2.6878 3.4004
Ho 0.0000 10.8489 1.7002
Ho -2.3369 8.1611 3.4004
! Raw total energy (eV per cell): -84.7
! Volume (Å³/cell): 690.6
! DOS at the Fermi energy (states/eV per atom): 1.499
! Formation enthalpy at 0 K (eV per atom): 0.402
! Relative energy among the computed polymorphs (eV/atom): 0.2058
! SG: No. 72


Entry 2:
! LiCa PBE-GGA optimized geometry; values from VASP
&SYSTEM
  ibrav = 0, nat = 2, ntyp = 2
/
ATOMIC_SPECIES
Li 6.94 Li.upf
Ca 40.08 Ca.upf
CELL_PARAMETERS angstrom
0.0000 3.5487 3.5487
3.5487 0.0000 3.5487
3.5487 3.5487 0.0000
ATOMIC_POSITIONS angstrom
Li 0.0000 0.0000 0.0000
Ca 1.7743 1.7743 1.7743
! Raw total energy (eV per cell): -2.5
! Volume (Å³/cell): 89.4
! DOS at the Fermi energy (states/eV per atom): 1.151
! Formation enthalpy at 0 K (eV per atom): 0.708
! Relative energy among the computed polymorphs (eV/atom): 0.6967
! SG: No. 216


Entry 3:
! MgZrScTl PBE-GGA optimized geometry; values from VASP
&SYSTEM
  ibrav = 0, nat = 4, ntyp = 4
/
ATOMIC_SPECIES
Mg 24.30 Mg.upf
Zr 91.22 Zr.upf
Sc 44.96 Sc.upf
Tl 204.38 Tl.upf
CELL_PARAMETERS angstrom
0.0000 3.5538 3.5538
3.5538 0.0000 3.5538
3.5538 3.5538 0.0000
ATOMIC_POSITIONS angstrom
Mg 0.0000 0.0000 0.0000
Zr 5.3308 5.3308 5.3308
Sc 1.7769 1.7769 1.7769
Tl 3.5538 3.5538 3.5538
! Raw total energy (eV per cell): -19.1
! Volume (Å³/cell): 89.8
! DOS at the Fermi energy (states/eV per atom): 0.879
! Formation enthalpy at 0 K (eV per atom): -0.062
! Relative energy among the computed polymorphs (eV/atom): 0.0662
! SG: No. 216


What did the second record say?
! LiCa PBE-GGA optimized geometry; values from VASP
&SYSTEM
  ibrav = 0, nat = 2, ntyp = 2
/
ATOMIC_SPECIES
Li 6.94 Li.upf
Ca 40.08 Ca.upf
CELL_PARAMETERS angstrom
0.0000 3.5487 3.5487
3.5487 0.0000 3.5487
3.5487 3.5487 0.0000
ATOMIC_POSITIONS angstrom
Li 0.0000 0.0000 0.0000
Ca 1.7743 1.7743 1.7743
! Raw total energy (eV per cell): -2.5
! Volume (Å³/cell): 89.4
! DOS at the Fermi energy (states/eV per atom): 1.151
! Formation enthalpy at 0 K (eV per atom): 0.708
! Relative energy among the computed polymorphs (eV/atom): 0.6967
! SG: No. 216